# 1
The following is a PBE-GGA calculation of Tm4CuPb2 after structural relaxation, from Alexandria.

Space group = P2_1/m, No. 11
DOS(E_F) = 8.52 states/eV per cell
ΔE_f = -0.316 eV/atom
V = 187.61 Å³/f.u.

Cell: 6.6850 6.6047 8.6715 Å, 90.00 101.48 90.00°
Atoms (fractional coordinates):
Tm  0.1574  0.0068  0.2878
Tm  0.1574  0.4932  0.2878
Tm  0.3134  0.2500  0.9432
Tm  0.3323  0.7500  0.6673
Tm  0.6677  0.2500  0.3327
Tm  0.6866  0.7500  0.0568
Tm  0.8426  0.5068  0.7122
Tm  0.8426  0.9932  0.7122
Cu  0.0411  0.2500  0.5438
Cu  0.9589  0.7500  0.4562
Pb  0.1744  0.7500  0.9747
Pb  0.4351  0.2500  0.6143
Pb  0.5649  0.7500  0.3857
Pb  0.8256  0.2500  0.0253

# 2
The following is a PBE-GGA calculation of CaYMg14 after structural relaxation, from Alexandria.

Space group = Amm2, No. 38
DOS(E_F) = 7.38 states/eV per cell
Energy above the most stable polymorph in this dataset = 0.010 eV/atom
ΔE_f = 0.004 eV/atom
V = 396.05 Å³/f.u.

Cell: 10.3676 6.4305 6.4305 Å, 67.49 90.00 90.00°
Atoms (fractional coordinates):
Ca  0.0000  0.0000  0.0000
Y  0.0000  0.4962  0.4962
Mg  0.0000  0.5033  0.9964
Mg  0.0000  0.9964  0.5033
Mg  0.2446  0.2449  0.2449
Mg  0.2484  0.7318  0.7318
Mg  0.2647  0.2347  0.7383
Mg  0.2647  0.7383  0.2347
Mg  0.5000  0.4174  0.9420
Mg  0.5000  0.4317  0.4317
Mg  0.5000  0.9173  0.9173
Mg  0.5000  0.9420  0.4174
Mg  0.7353  0.2347  0.7383
Mg  0.7353  0.7383  0.2347
Mg  0.7516  0.7318  0.7318
Mg  0.7554  0.2449  0.2449

# 3
The following is a PBE-GGA calculation of MgFeRh4 after structural relaxation, from Alexandria.

Space group = C2/m, No. 12
DOS(E_F) = 8.63 states/eV per cell
Energy above the most stable polymorph in this dataset = 0.000 eV/atom
ΔE_f = -0.092 eV/atom
V = 85.57 Å³/f.u.

Cell: 4.7224 4.7224 7.5462 Å, 113.56 113.56 34.04°
Atoms (fractional coordinates):
Mg  0.0000  0.0000  0.0000
Fe  0.0000  0.0000  0.5000
Rh  0.3323  0.3323  0.1778
Rh  0.3390  0.3390  0.6578
Rh  0.6610  0.6610  0.3422
Rh  0.6677  0.6677  0.8222

# 4
The following is a PBE-GGA calculation of Tl3InSi after structural relaxation, from Alexandria.

Space group = Pm-3m, No. 221
DOS(E_F) = 2.96 states/eV per cell
Energy above the most stable polymorph in this dataset = 0.000 eV/atom
Formation energy without anion corrections = 0.395 eV/atom
V = 162.32 Å³/f.u.

Cell: 5.4550 5.4550 5.4550 Å, 90.00 90.00 90.00°
Atoms (fractional coordinates):
Tl  0.0000  0.0000  0.5000
Tl  0.0000  0.5000  0.0000
Tl  0.5000  0.0000  0.0000
In  0.5000  0.5000  0.5000
Si  0.0000  0.0000  0.0000